Entry from Alexandria: crystalline Pm6Ag6Hg at its relaxed geometry (PBE).

The space group is P6/mmm (No. 191) and the conventional cell measures 5.9947, 5.9947 and 10.8955 Å, with angles of 90.00, 90.00 and 120.00 degrees. Symmetry generates all atoms from Pm at (0.0000, 0.0000, 0.1721), Pm at (0.3333, 0.6667, 0.0000), Pm at (0.3333, 0.6667, 0.5000), Ag at (0.0000, 0.5000, 0.2581) and Hg at (0.0000, 0.0000, 0.5000).

Its size of the total moment is 0.00 μB per cell. The calculated total energy comes out at -3.68 eV per atom. Its crystal system is hexagonal. The value obtained for the energy relative to the elements is -14.7 kJ/mol of atoms.